KMnSe2, optimized geometry, DFT PBE; calculated total energy = -0.3694 Ry per atom; magnetic moment = 3.99 μB/f.u.
1.0
3.579 0.000 0.000
0.000 4.594 -0.131
0.000 0.564 7.180
Se Mn K
2 1 1
Cartesian
0.000 3.635 3.625
0.000 4.103 6.950
1.789 3.869 5.287
1.789 1.290 1.762